Entry 1:
DFT (PBE) results for CrCu2AsAu after structural relaxation.

a b c (Å): 4.4529 4.4529 5.0210
angles (deg): 90.00 90.00 90.00
Fractional coordinates of all 5 atoms:
Cr1 0.0000 0.0000 0.0000
Cu1 0.0000 0.5000 0.5000
Cu2 0.5000 0.0000 0.5000
As1 0.5000 0.5000 0.5000
Au1 0.5000 0.5000 0.0000

Values from the calculation:
Total DFT energy (no corrections) (eV per cell): -22.73
Theoretical density (g/cm³): 7.52

***

Entry 2:
DFT (PBE) results for BeNi2Pt4 after structural relaxation.

a b c (Å): 4.1501 4.1501 12.4078
angles (deg): 90.00 90.00 90.00
Fractional coordinates of all 14 atoms:
Be1 0.0000 0.0000 0.0000
Be2 0.5000 0.5000 0.5000
Ni1 0.0000 0.0000 0.3726
Ni2 0.0000 0.0000 0.6274
Ni3 0.5000 0.5000 0.1274
Ni4 0.5000 0.5000 0.8726
Pt1 0.0000 0.0000 0.1768
Pt2 0.0000 0.0000 0.8232
Pt3 0.0000 0.5000 0.0000
Pt4 0.0000 0.5000 0.5000
Pt5 0.5000 0.0000 0.0000
Pt6 0.5000 0.0000 0.5000
Pt7 0.5000 0.5000 0.3232
Pt8 0.5000 0.5000 0.6768

Values from the calculation:
Total DFT energy (no corrections) (eV per cell): -74.04
Theoretical density (g/cm³): 14.09

***

Entry 3:
DFT (PBE) results for La2Pm4Pr2Dy after structural relaxation.

a b c (Å): 9.7901 9.7901 9.8567
angles (deg): 115.12 115.12 21.84
Fractional coordinates of all 9 atoms:
La1 0.1650 0.1650 0.0002
La2 0.8350 0.8350 0.9998
Pm1 0.0188 0.0188 0.3294
Pm2 0.3151 0.3151 0.6660
Pm3 0.6849 0.6849 0.3340
Pm4 0.9812 0.9812 0.6706
Pr1 0.3530 0.3530 0.3342
Pr2 0.6470 0.6470 0.6658
Dy1 0.5000 0.5000 0.0000

Values from the calculation:
Total DFT energy (no corrections) (eV per cell): -42.92
Theoretical density (g/cm³): 6.82

***

Entry 4:
DFT (PBE) results for LiNiPd2C after structural relaxation.

a b c (Å): 4.1831 4.1831 3.6702
angles (deg): 90.00 90.00 90.00
Fractional coordinates of all 5 atoms:
Li1 0.0000 0.0000 0.0000
Ni1 0.5000 0.5000 0.0000
Pd1 0.0000 0.5000 0.5000
Pd2 0.5000 0.0000 0.5000
C1 0.5000 0.5000 0.5000

Values from the calculation:
Total DFT energy (no corrections) (eV per cell): -27.54
Theoretical density (g/cm³): 7.51

***

Entry 5:
DFT (PBE) results for Mn2HgCl after structural relaxation.

a b c (Å): 3.2292 3.2292 24.5863
angles (deg): 90.00 90.00 120.00
Fractional coordinates of all 12 atoms:
Mn1 0.0000 0.0000 0.2452
Mn2 0.0000 0.0000 0.7548
Mn3 0.3333 0.6667 0.4215
Mn4 0.3333 0.6667 0.9119
Mn5 0.6667 0.3333 0.0881
Mn6 0.6667 0.3333 0.5785
Hg1 0.0000 0.0000 0.0000
Hg2 0.3333 0.6667 0.6667
Hg3 0.6667 0.3333 0.3333
Cl1 0.0000 0.0000 0.5000
Cl2 0.3333 0.6667 0.1667
Cl3 0.6667 0.3333 0.8333

Values from the calculation:
Total DFT energy (no corrections) (eV per cell): -59.76
E_form (uncorrected) (eV/atom): 0.14
Theoretical density (g/cm³): 7.76

***

Entry 6:
DFT (PBE) results for AcNpPdO6 after structural relaxation.

a b c (Å): 5.4404 5.4404 11.1049
angles (deg): 90.00 90.00 120.00
Fractional coordinates of all 18 atoms:
Ac1 0.0000 0.0000 0.0000
Ac2 0.0000 0.0000 0.5000
Np1 0.3333 0.6667 0.2500
Np2 0.6667 0.3333 0.7500
Pd1 0.3333 0.6667 0.7500
Pd2 0.6667 0.3333 0.2500
O1 0.0058 0.3634 0.1435
O2 0.0058 0.6424 0.3565
O3 0.3576 0.3634 0.3565
O4 0.3576 0.9942 0.1435
O5 0.3634 0.0058 0.6435
O6 0.3634 0.3576 0.8565
O7 0.6366 0.6424 0.1435
O8 0.6366 0.9942 0.3565
O9 0.6424 0.0058 0.8565
O10 0.6424 0.6366 0.6435
O11 0.9942 0.3576 0.6435
O12 0.9942 0.6366 0.8565

Values from the calculation:
Total DFT energy (no corrections) (eV per cell): -145.25
E_form (uncorrected) (eV/atom): -2.29
Theoretical density (g/cm³): 7.78

***

Entry 7:
DFT (PBE) results for Sm2ZnGa after structural relaxation.

a b c (Å): 7.3036 7.3036 7.3036
angles (deg): 90.00 90.00 90.00
Fractional coordinates of all 16 atoms:
Sm1 0.2500 0.2500 0.2500
Sm2 0.2500 0.2500 0.7500
Sm3 0.2500 0.7500 0.2500
Sm4 0.2500 0.7500 0.7500
Sm5 0.7500 0.2500 0.2500
Sm6 0.7500 0.2500 0.7500
Sm7 0.7500 0.7500 0.2500
Sm8 0.7500 0.7500 0.7500
Zn1 0.0000 0.0000 0.0000
Zn2 0.0000 0.5000 0.5000
Zn3 0.5000 0.0000 0.5000
Zn4 0.5000 0.5000 0.0000
Ga1 0.0000 0.0000 0.5000
Ga2 0.0000 0.5000 0.0000
Ga3 0.5000 0.0000 0.0000
Ga4 0.5000 0.5000 0.5000

Values from the calculation:
Total DFT energy (no corrections) (eV per cell): -62.27
Theoretical density (g/cm³): 7.43

***

Entry 8:
DFT (PBE) results for AcDy3In3 after structural relaxation.

a b c (Å): 9.6602 9.6602 5.2466
angles (deg): 90.00 90.00 120.00
Fractional coordinates of all 14 atoms:
Ac1 0.3333 0.6667 0.2500
Ac2 0.6667 0.3333 0.7500
Dy1 0.0054 0.7718 0.7500
Dy2 0.2282 0.2335 0.7500
Dy3 0.2335 0.0054 0.2500
Dy4 0.7665 0.9946 0.7500
Dy5 0.7718 0.7665 0.2500
Dy6 0.9946 0.2282 0.2500
In1 0.0655 0.4458 0.7500
In2 0.3802 0.9345 0.7500
In3 0.4458 0.3802 0.2500
In4 0.5542 0.6198 0.7500
In5 0.6198 0.0655 0.2500
In6 0.9345 0.5542 0.2500

Values from the calculation:
Total DFT energy (no corrections) (eV per cell): -57.04
Theoretical density (g/cm³): 8.29